# GGA-PBE TiMnGaPt, relaxed
# - Density of states at the Fermi level: 0.31 states/eV/f.u.
# - Energy: -113.3 eV per cell
data_TiMnGaPt
_cell_length_a 6.064
_cell_length_b 6.064
_cell_length_c 6.064
_cell_angle_alpha 90.00
_cell_angle_beta 90.00
_cell_angle_gamma 90.00
_space_group_name_H-M_alt 'F -4 3 m'
_space_group_IT_number 216
_space_group_name_Hall 'F -4 2 3'
loop_
_atom_site_label
_atom_site_fract_x
_atom_site_fract_y
_atom_site_fract_z
Ti1 0.000 0.000 0.000
Mn1 0.250 0.250 0.750
Ga1 0.000 0.000 0.500
Pt1 0.250 0.250 0.250